[1]
This record from Alexandria via LeMat-Bulk describes crystalline NdDy5Er2 at its relaxed geometry. The functional is PBE-GGA.

```
NdDy5Er2
1.0
7.105 0.000 0.000
0.000 14.212 0.000
0.000 0.000 5.009
Nd Dy Er
2 10 4
Direct
0.000 0.000 0.000
0.500 0.500 0.000
0.000 0.251 0.000
0.000 0.500 0.000
0.000 0.749 0.000
0.249 0.374 0.500
0.251 0.874 0.500
0.500 0.000 0.000
0.500 0.249 0.000
0.500 0.751 0.000
0.749 0.126 0.500
0.751 0.626 0.500
0.250 0.126 0.500
0.250 0.626 0.500
0.750 0.374 0.500
0.750 0.874 0.500
```

Output
energy relative to the elements: 0.02 eV per atom
ρ: 8479 kg/m³
polymorph energy (0 for the lowest one): 0 kJ/mol of formula units
V: 31.610 Å³/atom

[2]
This record from Alexandria via LeMat-Bulk describes crystalline Ni2HgRh at its relaxed geometry. The functional is PBE-GGA.

```
Ni2HgRh
1.0
1.404 0.810 8.557
-1.404 0.810 8.557
0.000 -1.621 8.557
Ni Hg Rh
2 1 1
Direct
0.000 0.000 0.000
0.261 0.261 0.261
0.755 0.755 0.755
0.517 0.517 0.517
```

Output
energy relative to the elements: 0.31 eV per atom
ρ: 11967 kg/m³
V: 14.600 Å³/atom

[3]
This record from Alexandria via LeMat-Bulk describes crystalline NaNi2Os2 at its relaxed geometry. The functional is PBE-GGA.

```
NaNi2Os2
1.0
-2.016 2.016 5.018
2.016 -2.016 5.018
2.016 2.016 -5.018
Na Ni Os
1 2 2
Direct
0.000 0.000 0.000
0.250 0.750 0.500
0.750 0.250 0.500
0.385 0.385 0.000
0.615 0.615 0.000
```

Output
energy relative to the elements: 0.71 eV per atom
ρ: 10602 kg/m³
polymorph energy (0 for the lowest one): 154 kJ/mol of formula units
V: 16.316 Å³/atom

[4]
This record from Alexandria via LeMat-Bulk describes crystalline LaRe2N4 at its relaxed geometry. The functional is PBE-GGA.

```
LaRe2N4
1.0
1.657 -4.963 0.000
1.657 4.963 0.000
0.000 0.000 10.089
La Re N
2 4 8
Direct
0.122 0.878 0.750
0.878 0.122 0.250
0.386 0.614 0.561
0.386 0.614 0.939
0.614 0.386 0.061
0.614 0.386 0.439
0.000 0.000 0.000
0.000 0.000 0.500
0.255 0.745 0.099
0.255 0.745 0.401
0.423 0.577 0.750
0.577 0.423 0.250
0.745 0.255 0.599
0.745 0.255 0.901
```

Output
ΔE_f (raw): -0.41 eV per atom
ρ: 11351 kg/m³
V: 11.857 Å³/atom

[5]
This record from Alexandria via LeMat-Bulk describes crystalline Ba5Te4Cl at its relaxed geometry. The functional is PBE-GGA.

```
Ba5Te4Cl
1.0
-2.477 3.491 12.267
2.477 -3.491 12.267
2.477 3.491 -12.267
Ba Te Cl
5 4 1
Direct
0.000 0.000 0.000
0.201 0.201 0.000
0.400 0.400 0.000
0.600 0.600 0.000
0.799 0.799 0.000
0.098 0.598 0.500
0.304 0.804 0.500
0.696 0.196 0.500
0.902 0.402 0.500
0.500 0.000 0.500
```

Output
ΔE_f (raw): -1.80 eV per atom
ρ: 4823 kg/m³
V: 42.432 Å³/atom

[6]
This record from Alexandria via LeMat-Bulk describes crystalline La2NdAs3Rh4 at its relaxed geometry. The functional is PBE-GGA.

```
La2NdAs3Rh4
1.0
4.207 0.000 0.000
0.000 4.207 0.000
0.000 0.000 11.567
La Nd As Rh
2 1 3 4
Direct
0.000 0.500 0.224
0.500 0.000 0.776
0.000 0.000 0.500
0.000 0.500 0.876
0.500 0.000 0.124
0.500 0.500 0.500
0.000 0.000 0.000
0.000 0.500 0.665
0.500 0.000 0.335
0.500 0.500 0.000
```

Output
energy relative to the elements: -0.96 eV per atom
ρ: 8587 kg/m³
V: 20.468 Å³/atom